Compound: La2SmScBi4
Source: Alexandria via LeMat-Bulk
Functional: GGA-PBE
Structure: relaxed

Output
Energy relative to the elements (meV per atom): -902
Crystal system: monoclinic

Cell lengths 7.883, 4.577, 7.916 Å; angles 90.00, 109.60, 90.00 degrees
Fractional coordinates of all 8 atoms:
La 0.000 0.000 0.000
La 0.000 0.500 0.500
Sm 0.500 0.000 0.500
Sc 0.500 0.500 0.000
Bi 0.264 0.500 0.246
Bi 0.270 0.000 0.765
Bi 0.730 0.000 0.235
Bi 0.736 0.500 0.754

Compound: BaTl2CdF6
Source: Alexandria via LeMat-Bulk
Functional: GGA-PBE
Structure: relaxed

Output
Raw formation energy (kJ/mol of atoms): -240.4
Crystal system: monoclinic

Cell lengths 6.456, 6.819, 11.382 Å; angles 90.00, 124.53, 90.00 degrees
Fractional coordinates of all 20 atoms:
Ba 0.000 0.000 0.000
Ba 0.000 0.500 0.500
Tl 0.230 0.040 0.741
Tl 0.230 0.460 0.241
Tl 0.770 0.540 0.759
Tl 0.770 0.960 0.259
Cd 0.500 0.000 0.500
Cd 0.500 0.500 0.000
F 0.164 0.176 0.459
F 0.164 0.324 0.959
F 0.259 0.723 0.439
F 0.259 0.777 0.939
F 0.371 0.045 0.268
F 0.371 0.455 0.768
F 0.629 0.545 0.232
F 0.629 0.955 0.732
F 0.741 0.223 0.061
F 0.741 0.277 0.561
F 0.836 0.676 0.041
F 0.836 0.824 0.541

Compound: Tl2P
Source: Alexandria via LeMat-Bulk
Functional: GGA-PBE
Structure: relaxed

Output
Energy relative to the elements (meV per atom): 190
E above lowest polymorph (meV/atom): 124
Crystal system: tetragonal

Cell lengths 6.260, 6.260, 6.260 Å; angles 98.42, 98.42, 135.01 degrees
Fractional coordinates of all 6 atoms:
Tl 0.157 0.657 0.813
Tl 0.343 0.157 0.500
Tl 0.657 0.843 0.500
Tl 0.843 0.343 0.187
P 0.250 0.250 0.000
P 0.750 0.750 0.000

Compound: CeHo2Sn
Source: Alexandria via LeMat-Bulk
Functional: GGA-PBE
Structure: relaxed

Output
Energy relative to the elements (meV per atom): 63
E above lowest polymorph (meV/atom): 451
Crystal system: trigonal

Cell lengths 11.984, 11.984, 11.984 Å; angles 16.62, 16.62, 16.62 degrees
Fractional coordinates of all 4 atoms:
Ce 0.000 0.000 0.000
Ho 0.412 0.412 0.412
Ho 0.588 0.588 0.588
Sn 0.500 0.500 0.500

Compound: Na3HfCo
Source: Alexandria via LeMat-Bulk
Functional: GGA-PBE
Structure: relaxed

Output
Energy relative to the elements (meV per atom): 1472
Crystal system: cubic

Cell lengths 5.109, 5.109, 5.109 Å; angles 90.00, 90.00, 90.00 degrees
Fractional coordinates of all 5 atoms:
Na 0.000 0.000 0.500
Na 0.000 0.500 0.000
Na 0.500 0.000 0.000
Hf 0.500 0.500 0.500
Co 0.000 0.000 0.000

Compound: RbScN2F
Source: Alexandria via LeMat-Bulk
Functional: GGA-PBE
Structure: relaxed

Output
Raw formation energy (kJ/mol of atoms): 111.1
E above lowest polymorph (meV/atom): 1855
Crystal system: tetragonal

Cell lengths 4.348, 4.348, 4.524 Å; angles 90.00, 90.00, 90.00 degrees
Fractional coordinates of all 5 atoms:
Rb 0.000 0.000 0.000
Sc 0.500 0.500 0.500
N 0.000 0.500 0.000
N 0.500 0.000 0.000
F 0.000 0.000 0.500

Compound: HfGa3Sb
Source: Alexandria via LeMat-Bulk
Functional: GGA-PBE
Structure: relaxed

Output
Raw formation energy (kJ/mol of atoms): 59.2
E above lowest polymorph (meV/atom): 0
Crystal system: cubic

Cell lengths 5.221, 5.221, 5.221 Å; angles 90.00, 90.00, 90.00 degrees
Fractional coordinates of all 5 atoms:
Hf 0.000 0.000 0.000
Ga 0.000 0.000 0.500
Ga 0.000 0.500 0.000
Ga 0.500 0.000 0.000
Sb 0.500 0.500 0.500

Compound: ZrBSb2I
Source: Alexandria via LeMat-Bulk
Functional: GGA-PBE
Structure: relaxed

Output
Raw formation energy (kJ/mol of atoms): 70.9
E above lowest polymorph (meV/atom): 0
Crystal system: tetragonal

Cell lengths 4.847, 4.847, 4.944 Å; angles 90.00, 90.00, 90.00 degrees
Fractional coordinates of all 5 atoms:
Zr 0.000 0.000 0.000
B 0.500 0.500 0.500
Sb 0.000 0.500 0.500
Sb 0.500 0.000 0.500
I 0.500 0.500 0.000

Compound: Nd4Bi3As
Source: Alexandria via LeMat-Bulk
Functional: GGA-PBE
Structure: relaxed

Output
Energy relative to the elements (meV per atom): -1061
Crystal system: orthorhombic

Cell lengths 7.849, 7.849, 4.514 Å; angles 90.00, 90.00, 109.31 degrees
Fractional coordinates of all 8 atoms:
Nd 0.235 0.235 0.500
Nd 0.242 0.758 0.000
Nd 0.758 0.242 0.000
Nd 0.765 0.765 0.500
Bi 0.000 0.500 0.500
Bi 0.500 0.000 0.500
Bi 0.500 0.500 0.000
As 0.000 0.000 0.000

Compound: Tb3NdTh2As6
Source: Alexandria via LeMat-Bulk
Functional: GGA-PBE
Structure: relaxed

Output
Energy relative to the elements (meV per atom): -1502
Crystal system: monoclinic

Cell lengths 9.384, 9.384, 8.384 Å; angles 102.70, 102.70, 25.92 degrees
Fractional coordinates of all 12 atoms:
Tb 0.000 0.000 0.000
Tb 0.334 0.334 0.666
Tb 0.666 0.666 0.334
Nd 0.000 0.000 0.500
Th 0.334 0.334 0.169
Th 0.666 0.666 0.831
As 0.166 0.166 0.086
As 0.169 0.169 0.581
As 0.499 0.499 0.756
As 0.501 0.501 0.244
As 0.831 0.831 0.419
As 0.834 0.834 0.914

Compound: PmSbSe2
Source: Alexandria via LeMat-Bulk
Functional: GGA-PBE
Structure: relaxed

Output
Raw formation energy (kJ/mol of atoms): -92.3
Crystal system: trigonal

Cell lengths 9.314, 9.314, 9.314 Å; angles 25.50, 25.50, 25.50 degrees
Fractional coordinates of all 4 atoms:
Pm 0.000 0.000 0.000
Sb 0.500 0.500 0.500
Se 0.396 0.396 0.396
Se 0.604 0.604 0.604

Compound: LiHoGe2Rh
Source: Alexandria via LeMat-Bulk
Functional: GGA-PBE
Structure: relaxed

Output
Energy relative to the elements (meV per atom): -701
Crystal system: tetragonal

Cell lengths 6.072, 6.072, 6.072 Å; angles 141.05, 141.05, 56.26 degrees
Fractional coordinates of all 5 atoms:
Li 0.000 0.000 0.000
Ho 0.750 0.250 0.500
Ge 0.134 0.634 0.500
Ge 0.366 0.866 0.500
Rh 0.500 0.500 0.000

Compound: Rb3Al2Sb3
Source: Alexandria via LeMat-Bulk
Functional: GGA-PBE
Structure: relaxed

Output
Raw formation energy (kJ/mol of atoms): -31.1
Crystal system: orthorhombic

Cell lengths 8.043, 8.043, 16.104 Å; angles 90.00, 90.00, 146.16 degrees
Fractional coordinates of all 16 atoms:
Rb 0.063 0.937 0.611
Rb 0.063 0.937 0.889
Rb 0.359 0.641 0.750
Rb 0.641 0.359 0.250
Rb 0.937 0.063 0.111
Rb 0.937 0.063 0.389
Al 0.241 0.759 0.093
Al 0.241 0.759 0.407
Al 0.759 0.241 0.593
Al 0.759 0.241 0.907
Sb 0.320 0.680 0.250
Sb 0.350 0.650 0.544
Sb 0.350 0.650 0.956
Sb 0.650 0.350 0.044
Sb 0.650 0.350 0.456
Sb 0.680 0.320 0.750

Compound: SmErHgPd
Source: Alexandria via LeMat-Bulk
Functional: GGA-PBE
Structure: relaxed

Output
Energy relative to the elements (meV per atom): -669
E above lowest polymorph (meV/atom): 0
Crystal system: tetragonal

Cell lengths 3.560, 3.560, 7.582 Å; angles 90.00, 90.00, 90.00 degrees
Fractional coordinates of all 4 atoms:
Sm 0.000 0.000 0.000
Er 0.000 0.000 0.455
Hg 0.500 0.500 0.715
Pd 0.500 0.500 0.250

Compound: ScCoSb2
Source: Alexandria via LeMat-Bulk
Functional: GGA-PBE
Structure: relaxed

Output
Raw formation energy (kJ/mol of atoms): -14.5
Crystal system: tetragonal

Cell lengths 4.811, 4.811, 3.403 Å; angles 90.00, 90.00, 90.00 degrees
Fractional coordinates of all 4 atoms:
Sc 0.000 0.000 0.000
Co 0.500 0.500 0.000
Sb 0.000 0.500 0.500
Sb 0.500 0.000 0.500

Compound: BeCO
Source: Alexandria via LeMat-Bulk
Functional: GGA-PBE
Structure: relaxed

Output
Raw formation energy (kJ/mol of atoms): -162.4
E above lowest polymorph (meV/atom): 0
Crystal system: triclinic

Cell lengths 2.587, 2.587, 11.248 Å; angles 83.77, 83.69, 60.00 degrees
Fractional coordinates of all 6 atoms:
Be 0.000 0.000 0.000
Be 0.236 0.245 0.295
C 0.129 0.119 0.640
C 0.462 0.452 0.640
O 0.333 0.334 0.000
O 0.902 0.912 0.295

Compound: Na2ErCl5
Source: Alexandria via LeMat-Bulk
Functional: GGA-PBE
Structure: relaxed

Output
Raw formation energy (kJ/mol of atoms): -195.3
E above lowest polymorph (meV/atom): 8
Crystal system: orthorhombic

Cell lengths 12.066, 8.222, 7.739 Å; angles 90.00, 90.00, 90.00 degrees
Fractional coordinates of all 32 atoms:
Na 0.176 0.005 0.023
Na 0.176 0.495 0.023
Na 0.324 0.505 0.523
Na 0.324 0.995 0.523
Na 0.676 0.005 0.477
Na 0.676 0.495 0.477
Na 0.824 0.505 0.977
Na 0.824 0.995 0.977
Er 0.007 0.750 0.580
Er 0.493 0.250 0.080
Er 0.507 0.750 0.920
Er 0.993 0.250 0.420
Cl 0.013 0.750 0.933
Cl 0.085 0.045 0.660
Cl 0.085 0.455 0.660
Cl 0.180 0.750 0.367
Cl 0.205 0.250 0.318
Cl 0.295 0.750 0.818
Cl 0.320 0.250 0.867
Cl 0.415 0.545 0.160
Cl 0.415 0.955 0.160
Cl 0.487 0.250 0.433
Cl 0.513 0.750 0.567
Cl 0.585 0.045 0.840
Cl 0.585 0.455 0.840
Cl 0.680 0.750 0.133
Cl 0.705 0.250 0.182
Cl 0.795 0.750 0.682
Cl 0.820 0.250 0.633
Cl 0.915 0.545 0.340
Cl 0.915 0.955 0.340
Cl 0.987 0.250 0.067

Compound: MnCd2NiH
Source: Alexandria via LeMat-Bulk
Functional: GGA-PBE
Structure: relaxed

Output
Electronic total energy (eV for the cell shown): -16.0
Crystal system: tetragonal

Cell lengths 4.969, 4.969, 4.550 Å; angles 90.00, 90.00, 90.00 degrees
Fractional coordinates of all 5 atoms:
Mn 0.000 0.000 0.000
Cd 0.000 0.500 0.500
Cd 0.500 0.000 0.500
Ni 0.000 0.000 0.500
H 0.500 0.500 0.000

Compound: ZnAgRu2
Source: Alexandria via LeMat-Bulk
Functional: GGA-PBE
Structure: relaxed

Output
Energy relative to the elements (meV per atom): 241
Crystal system: monoclinic

Cell lengths 4.653, 4.653, 4.887 Å; angles 98.50, 98.50, 34.88 degrees
Fractional coordinates of all 4 atoms:
Zn 0.000 0.000 0.000
Ag 0.248 0.248 0.791
Ru 0.492 0.492 0.471
Ru 0.748 0.748 0.297

Compound: Be2Se
Source: Alexandria via LeMat-Bulk
Functional: GGA-PBE
Structure: relaxed

Output
Raw formation energy (kJ/mol of atoms): -20.7
E above lowest polymorph (meV/atom): 75
Crystal system: triclinic

Cell lengths 3.524, 3.526, 9.182 Å; angles 89.71, 89.87, 60.08 degrees
Fractional coordinates of all 6 atoms:
Be 0.000 0.000 0.000
Be 0.000 0.002 0.762
Be 0.333 0.333 0.120
Be 0.667 0.666 0.898
Se 0.000 0.998 0.232
Se 0.667 0.670 0.661

Compound: CaNdCuPb
Source: Alexandria via LeMat-Bulk
Functional: GGA-PBE
Structure: relaxed

Output
Energy relative to the elements (meV per atom): -334
Crystal system: cubic

Cell lengths 5.346, 5.346, 5.346 Å; angles 60.00, 60.00, 60.00 degrees
Fractional coordinates of all 4 atoms:
Ca 0.000 0.000 0.000
Nd 0.500 0.500 0.500
Cu 0.750 0.750 0.750
Pb 0.250 0.250 0.250

Compound: Sr2CrOs
Source: Alexandria via LeMat-Bulk
Functional: GGA-PBE
Structure: relaxed

Output
Energy relative to the elements (meV per atom): 280
E above lowest polymorph (meV/atom): 0
Crystal system: monoclinic

Cell lengths 4.124, 4.124, 8.971 Å; angles 103.54, 103.54, 60.03 degrees
Fractional coordinates of all 4 atoms:
Sr 0.000 0.000 0.000
Sr 0.182 0.182 0.535
Cr 0.424 0.424 0.267
Os 0.758 0.758 0.268

Compound: ReMo2Pb
Source: Alexandria via LeMat-Bulk
Functional: GGA-PBE
Structure: relaxed

Output
Energy relative to the elements (meV per atom): 815
Crystal system: tetragonal

Cell lengths 4.042, 4.042, 4.232 Å; angles 90.00, 90.00, 90.00 degrees
Fractional coordinates of all 4 atoms:
Re 0.000 0.000 0.000
Mo 0.000 0.500 0.500
Mo 0.500 0.000 0.500
Pb 0.500 0.500 0.000

Compound: TbIn4
Source: Alexandria via LeMat-Bulk
Functional: GGA-PBE
Structure: relaxed

Output
Energy relative to the elements (meV per atom): -59
E above lowest polymorph (meV/atom): 0
Crystal system: tetragonal

Cell lengths 7.683, 7.683, 7.683 Å; angles 146.38, 146.38, 48.28 degrees
Fractional coordinates of all 5 atoms:
Tb 0.000 0.000 0.000
In 0.250 0.750 0.500
In 0.400 0.400 0.000
In 0.600 0.600 0.000
In 0.750 0.250 0.500

Compound: Y2ZnIrC
Source: Alexandria via LeMat-Bulk
Functional: GGA-PBE
Structure: relaxed

Output
Energy relative to the elements (meV per atom): -504
E above lowest polymorph (meV/atom): 0
Crystal system: tetragonal

Cell lengths 5.011, 5.011, 3.872 Å; angles 90.00, 90.00, 90.00 degrees
Fractional coordinates of all 5 atoms:
Y 0.000 0.500 0.000
Y 0.500 0.000 0.000
Zn 0.000 0.000 0.500
Ir 0.500 0.500 0.500
C 0.500 0.500 0.000

no.,density of states at the Fermi level (states/eV per cell),total magnetic moment (μB/f.u.)
1,1.14,0.00
2,0.00,0.00
3,3.17,0.00
4,4.87,0.53
5,6.95,1.56
6,1.88,0.73
7,5.90,0.00
8,4.46,0.00
9,1.19,0.00
10,4.04,0.00
11,0.72,0.00
12,4.22,0.00
13,2.19,0.00
14,2.77,0.00
15,4.01,0.47
16,0.36,0.00
17,0.00,0.00
18,2.31,5.00
19,4.04,0.00
20,0.57,0.00
21,1.53,0.00
22,1.76,2.17
23,5.54,0.00
24,2.17,0.00
25,2.58,0.00